The following is a GGA-PBE calculation of PmPaBiSb after structural relaxation, from Alexandria via LeMat-Bulk.

Its raw formation energy is -0.50 eV per atom. The value obtained for the spin magnetization is 7.001 Bohr magnetons per cell.

The structure belongs to space group F-43m (No. 216); the cell edges are 7.685, 7.685 and 7.685 Å and the angles 90.00°, 90.00° and 90.00°. The distinct sites, in fractional coordinates, are Pm at (0.000, 0.000, 0.000), Pa at (0.000, 0.000, 0.500), Bi at (0.250, 0.250, 0.750) and Sb at (0.250, 0.250, 0.250).

***

The following is a GGA-PBE calculation of LiTlZnGe after structural relaxation, from Alexandria via LeMat-Bulk.

For the relative energy among the computed polymorphs, the calculation gives 72 meV/atom. The value obtained for the spin magnetization is 0.000 Bohr magnetons per cell.

The structure belongs to space group P1 (No. 1); the cell edges are 3.445, 4.507 and 6.116 Å and the angles 90.96°, 105.06° and 111.77°. The distinct sites, in fractional coordinates, are Li at (0.000, 0.000, 0.000), Tl at (0.473, 0.610, 0.301), Zn at (0.162, 0.538, 0.778) and Ge at (0.373, 0.090, 0.630).

***

The following is a GGA-PBE calculation of InNiP2 after structural relaxation, from Alexandria via LeMat-Bulk.

The value obtained for the spin magnetization is 0.000 Bohr magnetons per cell. As for the total energy: -4.91 eV per atom.

The structure belongs to space group I-42d (No. 122); the cell edges are 5.409, 5.409 and 11.278 Å and the angles 90.00°, 90.00° and 90.00°. The distinct sites, in fractional coordinates, are In at (0.000, 0.000, 0.000), Ni at (0.000, 0.000, 0.500) and P at (0.179, 0.250, 0.625).

***

The following is a GGA-PBE calculation of HoZrMnOs after structural relaxation, from Alexandria via LeMat-Bulk.

The value obtained for the spin magnetization is 10.261 Bohr magnetons per cell. As for the total energy: -8.48 eV per atom.

The structure belongs to space group F-43m (No. 216); the cell edges are 6.708, 6.708 and 6.708 Å and the angles 90.00°, 90.00° and 90.00°. The distinct sites, in fractional coordinates, are Ho at (0.000, 0.000, 0.000), Zr at (0.000, 0.000, 0.500), Mn at (0.250, 0.250, 0.750) and Os at (0.250, 0.250, 0.250).

***

The following is a GGA-PBE calculation of Pm3HoTm3 after structural relaxation, from Alexandria via LeMat-Bulk.

For the relative energy among the computed polymorphs, the calculation gives 0 meV/atom. The value obtained for the spin magnetization is 0.001 Bohr magnetons per cell.

The structure belongs to space group P6_3/m (No. 176); the cell edges are 9.5673, 9.5673 and 5.7028 Å and the angles 90.00°, 90.00° and 120.00°. The distinct sites, in fractional coordinates, are Pm at (0.0492, 0.8060, 0.2500), Ho at (0.3333, 0.6667, 0.2500) and Tm at (0.0952, 0.6163, 0.7500).

***

The following is a GGA-PBE calculation of PmTh2Pa after structural relaxation, from Alexandria via LeMat-Bulk.

For the relative energy among the computed polymorphs, the calculation gives 22 meV/atom. The value obtained for the spin magnetization is 0.000 Bohr magnetons per cell.

The structure belongs to space group R3m (No. 160, hexagonal axes); the cell edges are 3.5134, 3.5134 and 34.6051 Å and the angles 90.00°, 90.00° and 120.00°. The distinct sites, in fractional coordinates, are Pm at (0.0000, 0.0000, 0.0000), Th at (0.0000, 0.0000, 0.5816), Th at (0.0000, 0.0000, 0.7560) and Pa at (0.0000, 0.0000, 0.1692).

***

The following is a GGA-PBE calculation of Nd4HgTe2Br after structural relaxation, from Alexandria via LeMat-Bulk.

Its raw formation energy is -1.12 eV per atom. The value obtained for the spin magnetization is 0.000 Bohr magnetons per cell.

The structure belongs to space group P2/m (No. 10); the cell edges are 7.686, 4.375 and 7.791 Å and the angles 90.00°, 108.35° and 90.00°. The distinct sites, in fractional coordinates, are Nd at (0.241, 0.000, 0.252), Nd at (0.243, 0.500, 0.742), Hg at (0.000, 0.000, 0.500), Te at (0.000, 0.500, 0.000), Te at (0.500, 0.000, 0.000) and Br at (0.500, 0.500, 0.500).

***

The following is a GGA-PBE calculation of Cs2NaI after structural relaxation, from Alexandria via LeMat-Bulk.

For the relative energy among the computed polymorphs, the calculation gives 0 meV/atom. Its raw formation energy is -0.72 eV per atom. The value obtained for the spin magnetization is 0.000 Bohr magnetons per cell.

The structure belongs to space group P4/mmm (No. 123); the cell edges are 4.809, 4.809 and 10.270 Å and the angles 90.00°, 90.00° and 90.00°. The distinct sites, in fractional coordinates, are Cs at (0.000, 0.000, 0.218), Na at (0.500, 0.500, 0.500) and I at (0.500, 0.500, 0.000).

***

spin magnetization of number 2 (LiTlZnGe)?
0.000 Bohr magnetons per cell

***

What is the spin magnetization in the second record?
0.000 Bohr magnetons per cell

***

Repeat the eighth record exactly.
The following is a GGA-PBE calculation of Cs2NaI after structural relaxation, from Alexandria via LeMat-Bulk.

For the relative energy among the computed polymorphs, the calculation gives 0 meV/atom. Its raw formation energy is -0.72 eV per atom. The value obtained for the spin magnetization is 0.000 Bohr magnetons per cell.

The structure belongs to space group P4/mmm (No. 123); the cell edges are 4.809, 4.809 and 10.270 Å and the angles 90.00°, 90.00° and 90.00°. The distinct sites, in fractional coordinates, are Cs at (0.000, 0.000, 0.218), Na at (0.500, 0.500, 0.500) and I at (0.500, 0.500, 0.000).